No. 1
GGA-PBEsol MgRh3, relaxed; D(E_F) = 4.00 states/eV per cell; space group = Pmm2; total magnetic moment = 0.0 μB per cell; formation enthalpy at 0 K = -0.61 eV per formula unit; DFT total energy = -26.7 eV for the cell shown; V = 56.0 Å³/cell
1.0
2.746 0.000 0.000
0.000 4.387 0.000
0.000 0.000 4.649
Mg Rh
1 3
Direct
0.000 0.000 0.000
0.000 0.500 0.354
0.500 0.000 0.501
0.500 0.500 0.852

No. 2
GGA-PBEsol K2IF, relaxed; D(E_F) = 0.00 states/eV per cell; space group = I-42d; total magnetic moment = 0.0 μB per cell; DFT total energy = -56.3 eV for the cell shown; V = 518.7 Å³/cell
1.0
7.743 0.000 0.000
0.000 7.743 0.000
0.000 0.000 8.652
K I F
8 4 4
Direct
0.152 0.250 0.125
0.250 0.652 0.375
0.250 0.848 0.875
0.348 0.250 0.625
0.652 0.750 0.625
0.750 0.152 0.875
0.750 0.348 0.375
0.848 0.750 0.125
0.000 0.000 0.500
0.000 0.500 0.750
0.500 0.000 0.250
0.500 0.500 0.000
0.000 0.000 0.000
0.000 0.500 0.250
0.500 0.000 0.750
0.500 0.500 0.500

No. 3
GGA-PBEsol TeP, relaxed; D(E_F) = 1.40 states/eV per cell; space group = Pmma; total magnetic moment = 0.0 μB per cell; DFT total energy = -17.3 eV for the cell shown; V = 98.2 Å³/cell
1.0
3.563 0.000 0.000
0.000 3.560 0.000
0.000 0.000 7.743
Te P
2 2
Direct
0.250 0.000 0.233
0.750 0.000 0.767
0.250 0.500 0.628
0.750 0.500 0.372

No. 4
GGA-PBEsol NaSrB5O9, relaxed; D(E_F) = 0.00 states/eV per cell; space group = P2_1/c; total magnetic moment = 0.0 μB per cell; DFT total energy = -507.4 eV for the cell shown; V = 698.4 Å³/cell
1.0
6.498 0.000 0.000
0.000 13.980 0.000
-2.327 0.000 7.687
Na Sr B O
4 4 20 36
Direct
0.033 0.085 0.349
0.033 0.415 0.849
0.967 0.585 0.151
0.967 0.915 0.651
0.398 0.730 0.440
0.398 0.770 0.940
0.602 0.230 0.060
0.602 0.270 0.560
0.057 0.144 0.869
0.057 0.356 0.369
0.088 0.247 0.624
0.088 0.253 0.124
0.285 0.549 0.735
0.285 0.951 0.235
0.342 0.113 0.730
0.342 0.387 0.230
0.407 0.558 0.164
0.407 0.942 0.664
0.593 0.058 0.336
0.593 0.442 0.836
0.658 0.613 0.770
0.658 0.887 0.270
0.715 0.049 0.765
0.715 0.451 0.265
0.912 0.747 0.876
0.912 0.753 0.376
0.943 0.644 0.631
0.943 0.856 0.131
0.012 0.172 0.032
0.012 0.328 0.532
0.017 0.725 0.755
0.017 0.775 0.255
0.070 0.558 0.698
0.070 0.942 0.198
0.252 0.191 0.600
0.252 0.309 0.100
0.271 0.021 0.647
0.271 0.479 0.147
0.284 0.127 0.889
0.284 0.373 0.389
0.333 0.648 0.145
0.333 0.852 0.645
0.370 0.040 0.291
0.370 0.460 0.791
0.419 0.625 0.725
0.419 0.875 0.225
0.581 0.125 0.775
0.581 0.375 0.275
0.630 0.540 0.209
0.630 0.960 0.709
0.667 0.148 0.355
0.667 0.352 0.855
0.716 0.627 0.611
0.716 0.873 0.111
0.729 0.521 0.853
0.729 0.979 0.353
0.748 0.691 0.900
0.748 0.809 0.400
0.930 0.058 0.802
0.930 0.442 0.302
0.983 0.225 0.745
0.983 0.275 0.245
0.988 0.672 0.468
0.988 0.828 0.968